First-principles (PBE) data for a relaxed GeTeOs crystal, as listed in Alexandria via LeMat-Bulk.

abc: 6.938 6.938 5.881
angles: 110.84 110.84 32.78
Atoms (fractional coordinates):
Ge (0.000, 0.000, 0.000)
Ge (0.197, 0.197, 0.859)
Te (0.538, 0.538, 0.526)
Te (0.795, 0.795, 0.446)
Os (0.157, 0.157, 0.410)
Os (0.627, 0.627, 0.027)

Values from the calculation:
Electronic total energy in eV per atom: -6.1593
DOS at the Fermi energy in states/eV per atom: 0.635
Energy relative to the elements, uncorrected in eV/f.u.: 0.51

=====

First-principles (PBE) data for a relaxed La6AgIr crystal, as listed in Alexandria via LeMat-Bulk.

abc: 7.057 7.066 7.970
angles: 63.76 63.81 60.06
Atoms (fractional coordinates):
La (0.056, 0.418, 0.256)
La (0.231, 0.944, 0.744)
La (0.418, 0.769, 0.256)
La (0.582, 0.231, 0.744)
La (0.769, 0.056, 0.256)
La (0.944, 0.582, 0.744)
Ag (0.500, 0.500, 0.000)
Ir (0.000, 0.000, 0.500)

Values from the calculation:
Electronic total energy in eV per atom: -5.3261
DOS at the Fermi energy in states/eV per atom: 1.535
ΔH_f (0 K) in eV/atom: -0.166

=====

First-principles (PBE) data for a relaxed Li12Mg7Cu crystal, as listed in Alexandria via LeMat-Bulk.

abc: 8.923 8.923 8.923
angles: 109.47 109.47 109.47
Atoms (fractional coordinates):
Li (0.108, 0.751, 0.357)
Li (0.249, 0.357, 0.606)
Li (0.249, 0.643, 0.892)
Li (0.357, 0.108, 0.751)
Li (0.357, 0.606, 0.249)
Li (0.394, 0.751, 0.643)
Li (0.606, 0.249, 0.357)
Li (0.643, 0.394, 0.751)
Li (0.643, 0.892, 0.249)
Li (0.751, 0.357, 0.108)
Li (0.751, 0.643, 0.394)
Li (0.892, 0.249, 0.643)
Mg (0.000, 0.000, 0.500)
Mg (0.000, 0.500, 0.000)
Mg (0.000, 0.500, 0.500)
Mg (0.500, 0.000, 0.000)
Mg (0.500, 0.000, 0.500)
Mg (0.500, 0.500, 0.000)
Mg (0.500, 0.500, 0.500)
Cu (0.000, 0.000, 0.000)

Values from the calculation:
Electronic total energy in eV per atom: -1.5242
DOS at the Fermi energy in states/eV per atom: 0.519
ΔH_f (0 K) in eV/atom: 0.387

=====

First-principles (PBE) data for a relaxed Dy6Y12Zr crystal, as listed in Alexandria via LeMat-Bulk.

abc: 9.366 9.366 9.366
angles: 110.93 110.93 110.93
Atoms (fractional coordinates):
Dy (0.035, 0.292, 0.189)
Dy (0.189, 0.035, 0.292)
Dy (0.292, 0.189, 0.035)
Dy (0.708, 0.811, 0.965)
Dy (0.811, 0.965, 0.708)
Dy (0.965, 0.708, 0.811)
Y (0.083, 0.873, 0.557)
Y (0.127, 0.443, 0.917)
Y (0.241, 0.602, 0.654)
Y (0.346, 0.759, 0.398)
Y (0.398, 0.346, 0.759)
Y (0.443, 0.917, 0.127)
Y (0.557, 0.083, 0.873)
Y (0.602, 0.654, 0.241)
Y (0.654, 0.241, 0.602)
Y (0.759, 0.398, 0.346)
Y (0.873, 0.557, 0.083)
Y (0.917, 0.127, 0.443)
Zr (0.500, 0.500, 0.500)

Values from the calculation:
Electronic total energy in eV per atom: -5.9472
DOS at the Fermi energy in states/eV per atom: 1.445
ΔH_f (0 K) in eV/atom: 0.039

=====

First-principles (PBE) data for a relaxed TbZr2Hg crystal, as listed in Alexandria via LeMat-Bulk.

abc: 3.313 3.313 8.806
angles: 90.00 90.00 90.00
Atoms (fractional coordinates):
Tb (0.000, 0.000, 0.000)
Zr (0.500, 0.500, 0.268)
Zr (0.500, 0.500, 0.732)
Hg (0.000, 0.000, 0.500)

Values from the calculation:
Electronic total energy in eV per atom: -5.5318
DOS at the Fermi energy in states/eV per atom: 0.904
ΔH_f (0 K) in eV/atom: -0.025
Polymorph energy (0 for the lowest one) in eV per formula unit: 0.15

=====

First-principles (PBE) data for a relaxed MnInPb2S5 crystal, as listed in Alexandria via LeMat-Bulk.

abc: 3.876 12.285 9.100
angles: 90.00 102.28 90.00
Atoms (fractional coordinates):
Mn (0.056, 0.000, 0.111)
Mn (0.944, 0.500, 0.889)
In (0.290, 0.582, 0.581)
In (0.710, 0.082, 0.419)
Pb (0.379, 0.228, 0.757)
Pb (0.380, 0.869, 0.759)
Pb (0.620, 0.369, 0.241)
Pb (0.621, 0.728, 0.243)
S (0.003, 0.338, 0.006)
S (0.145, 0.560, 0.291)
S (0.180, 0.938, 0.358)
S (0.215, 0.228, 0.430)
S (0.451, 0.601, 0.904)
S (0.549, 0.101, 0.096)
S (0.785, 0.728, 0.570)
S (0.820, 0.438, 0.642)
S (0.855, 0.060, 0.709)
S (0.997, 0.838, 0.994)

Values from the calculation:
Electronic total energy in eV per atom: -4.9158
DOS at the Fermi energy in states/eV per atom: 0.324
Energy relative to the elements, uncorrected in eV/f.u.: -4.28

=====

Q: What is the formula in the fifth record?
A: TbZr2Hg